# Cr2CdW | the Alexandria database | PBE | optimized geometry
data_Cr2CdW
_chemical_formula_sum 'Cr8 Cd4 W4'
_cell_length_a 6.269
_cell_length_b 6.269
_cell_length_c 6.269
_cell_angle_alpha 90.00
_cell_angle_beta 90.00
_cell_angle_gamma 90.00
_symmetry_space_group_name_H-M 'F -4 3 m'
_symmetry_Int_Tables_number 216
_symmetry_space_group_name_Hall 'F -4 2 3'
loop_
_atom_site_label
_atom_site_type_symbol
_atom_site_fract_x
_atom_site_fract_y
_atom_site_fract_z
Cr1 Cr 0.000 0.000 0.000
Cr2 Cr 0.250 0.250 0.250
Cd1 Cd 0.000 0.000 0.500
W1 W 0.250 0.250 0.750
# Formation enthalpy at 0 K (eV/f.u.): 2.86
# Total magnetic moment (μB per formula unit): 2.11